Arrangement a

{
  "formula": "CsCd2In2",
  "functional": "PBE-GGA",
  "state": "optimized geometry",
  "dos_ef_per_ev_cell": 7.21,
  "sg": "P4/mbm, No. 127",
  "crystal_system": "tetragonal",
  "lattice_angstrom": [[9.658, 0.000, 0.000], [0.000, 9.658, 0.000], [0.000, 0.000, 3.332]],
  "species": ["Cs", "Cs", "Cd", "Cd", "Cd", "Cd", "In", "In", "In", "In"],
  "frac_coords": [[0.000, 0.000, 0.000], [0.500, 0.500, 0.000], [0.137, 0.363, 0.000], [0.363, 0.863, 0.000], [0.637, 0.137, 0.000], [0.863, 0.637, 0.000], [0.148, 0.648, 0.500], [0.352, 0.148, 0.500], [0.648, 0.852, 0.500], [0.852, 0.352, 0.500]]
}


Arrangement b

{
  "formula": "CsCd2In2",
  "functional": "PBE-GGA",
  "state": "optimized geometry",
  "dos_ef_per_ev_cell": 3.14,
  "sg": "I4/mmm, No. 139",
  "crystal_system": "tetragonal",
  "lattice_angstrom": [[-2.599, 2.599, 6.173], [2.599, -2.599, 6.173], [2.599, 2.599, -6.173]],
  "species": ["Cs", "Cd", "Cd", "In", "In"],
  "frac_coords": [[0.000, 0.000, 0.000], [0.250, 0.750, 0.500], [0.750, 0.250, 0.500], [0.375, 0.375, 0.000], [0.625, 0.625, 0.000]]
}


Result of the stability comparison: arrangement a is the least stable of them.


Arrangement a

{
  "formula": "Cs3CdIn",
  "functional": "PBE-GGA",
  "state": "optimized geometry",
  "dos_ef_per_ev_cell": 3.27,
  "sg": "Pm-3m, No. 221",
  "crystal_system": "cubic",
  "lattice_angstrom": [[7.477, 0.000, 0.000], [0.000, 7.477, 0.000], [0.000, 0.000, 7.477]],
  "species": ["Cs", "Cs", "Cs", "Cd", "In"],
  "frac_coords": [[0.000, 0.000, 0.500], [0.000, 0.500, 0.000], [0.500, 0.000, 0.000], [0.500, 0.500, 0.500], [0.000, 0.000, 0.000]]
}


Arrangement b

{
  "formula": "Cs3CdIn",
  "functional": "PBE-GGA",
  "state": "optimized geometry",
  "dos_ef_per_ev_cell": 7.76,
  "sg": "C2/m, No. 12",
  "crystal_system": "monoclinic",
  "lattice_angstrom": [[7.035, -5.948, 0.000], [7.035, 5.948, 0.000], [-5.810, 0.000, 7.329]],
  "species": ["Cs", "Cs", "Cs", "Cs", "Cs", "Cs", "Cd", "Cd", "In", "In"],
  "frac_coords": [[0.053, 0.053, 0.285], [0.108, 0.489, 0.820], [0.489, 0.108, 0.820], [0.511, 0.892, 0.180], [0.892, 0.511, 0.180], [0.947, 0.947, 0.715], [0.302, 0.302, 0.189], [0.698, 0.698, 0.811], [0.433, 0.433, 0.596], [0.567, 0.567, 0.404]]
}


Result of the stability comparison: arrangement a is the least stable of them.